[1]
Here is a relaxed structure of Pr3Er8Tm3 from the Alexandria database. Energies are from PBE-GGA.

The space group is Immm (No. 71) and the conventional cell measures 5.6136, 10.7704 and 14.9473 Å, with angles of 90.00, 90.00 and 90.00 degrees. The distinct sites, in fractional coordinates, are Pr at (0.0000, 0.0000, 0.0000), Pr at (0.0000, 0.5000, 0.3165), Er at (0.0000, 0.1609, 0.2798), Er at (0.0000, 0.3427, 0.1021), Tm at (0.0000, 0.0000, 0.5000) and Tm at (0.0000, 0.2945, 0.5000).

The density of states at the Fermi level is 47.4 states/eV/cell. As for the theoretical density: 8.33 g cm⁻³. For the total energy, the calculation gives -4.48 eV per atom.


[2]
Here is a relaxed structure of Pr3Er4Tm from the Alexandria database. Energies are from PBE-GGA.

The space group is Immm (No. 71) and the conventional cell measures 3.4923, 11.6818 and 12.9881 Å, with angles of 90.00, 90.00 and 90.00 degrees. The distinct sites, in fractional coordinates, are Pr at (0.0000, 0.0000, 0.0000), Pr at (0.0000, 0.5000, 0.2435), Er at (0.0000, 0.2445, 0.3652) and Tm at (0.0000, 0.0000, 0.5000).

The density of states at the Fermi level is 22.7 states/eV/cell. As for the theoretical density: 7.90 g cm⁻³. For the total energy, the calculation gives -4.50 eV per atom.


[3]
Here is a relaxed structure of Pr4Er3Tm4 from the Alexandria database. Energies are from PBE-GGA.

The space group is C2/m (No. 12) and the conventional cell measures 36.1189, 5.5883 and 3.5898 Å, with angles of 90.00, 95.59 and 90.00 degrees. The distinct sites, in fractional coordinates, are Pr at (0.0527, 0.0000, 0.0570), Pr at (0.1770, 0.5000, 0.1799), Er at (0.0000, 0.5000, 0.5000), Er at (0.1463, 0.0000, 0.6494), Tm at (0.0926, 0.5000, 0.5975) and Tm at (0.2348, 0.0000, 0.2351).

The density of states at the Fermi level is 32.6 states/eV/cell. As for the theoretical density: 8.02 g cm⁻³. For the total energy, the calculation gives -4.57 eV per atom.